Record 1
A relaxed structure of Ca2CoIr2, computed with PBE-GGA.

Cell: 3.578 3.578 8.956 Å, 78.48 78.48 90.00°
Each line ends with the local moment (μB).
Fractional positions:
Co (0.000, 0.000, 0.000)  1.40
Ir (0.750, 0.250, 0.500)  -0.02
Ir (0.250, 0.750, 0.500)  -0.02
Ca (0.396, 0.396, 0.208)  -0.06
Ca (0.604, 0.604, 0.792)  -0.06

Output
Symmetry: I4/mmm (139)
Crystal system: tetragonal

---

Record 2
A relaxed structure of CdAsAu2, computed with PBE-GGA.

Cell: 4.800 4.800 4.800 Å, 60.00 60.00 60.00°
Fractional positions:
Au (0.000, 0.000, 0.000)
Au (0.250, 0.250, 0.250)
As (0.500, 0.500, 0.500)
Cd (0.750, 0.750, 0.750)

Output
Symmetry: F-43m (216)
Crystal system: cubic

---

Record 3
A relaxed structure of PrY2Tm5Th, computed with PBE-GGA.

Cell: 8.706 8.706 9.732 Å, 116.57 116.57 90.00°
Fractional positions:
Th (0.250, 0.250, 0.500)
Th (0.750, 0.750, 0.500)
Y (0.884, 0.616, 0.000)
Y (0.616, 0.116, 0.000)
Y (0.116, 0.384, 0.000)
Y (0.384, 0.884, 0.000)
Tm (0.428, 0.346, 0.274)
Tm (0.154, 0.072, 0.726)
Tm (0.928, 0.428, 0.274)
Tm (0.000, 0.000, 0.000)
Tm (0.846, 0.928, 0.274)
Tm (0.346, 0.846, 0.274)
Tm (0.072, 0.572, 0.726)
Tm (0.654, 0.154, 0.726)
Tm (0.500, 0.500, 0.000)
Tm (0.572, 0.654, 0.726)
Pr (0.250, 0.750, 0.500)
Pr (0.750, 0.250, 0.500)

Output
Symmetry: I4/mcm (140)
Crystal system: tetragonal

---

Number 1: V 110.0 Å³ per cell, ΔE_f 322.0 meV per atom. Number 2: V 78.2 Å³ per cell, ΔE_f 152.0 meV per atom. Number 3: V 571.3 Å³ per cell, ΔE_f 320.7 meV per atom.